The following is a PBE calculation of a relaxed Ac4CdIr2Au crystal, from Alexandria.

Cell lengths 4.4208, 7.2023, 17.7283 Å; angles 90.00, 90.00, 107.87 degrees
Atoms (fractional coordinates):
Ir 0.3708 0.7415 0.5667
Ac 0.2748 0.5497 0.4149
Ac 0.5863 0.1725 0.2500
Cd 0.8835 0.7669 0.2500
Ac 0.0000 0.0000 0.5000
Ir 0.6292 0.2585 0.4333
Ac 0.7252 0.4503 0.9149
Ir 0.3708 0.7415 0.9333
Ac 0.4137 0.8275 0.7500
Ir 0.6292 0.2585 0.0667
Ac 0.7252 0.4503 0.5851
Au 0.2513 0.5025 0.2500
Ac 0.0000 0.0000 0.0000
Au 0.7487 0.4975 0.7500
Cd 0.1165 0.2331 0.7500
Ac 0.2748 0.5497 0.0851

Properties
Calculated formation energy ... -0.462 eV/atom


The following is a PBE calculation of a relaxed K2CaS2 crystal, from Alexandria.

Cell lengths 5.5993, 5.5993, 6.0692 Å; angles 62.53, 62.53, 90.00 degrees
Atoms (fractional coordinates):
S 0.7500 0.2500 0.5000
K 0.3489 0.3489 0.3022
K 0.6511 0.6511 0.6978
Ca 0.0000 0.0000 0.0000
S 0.2500 0.7500 0.5000

Properties
E ... -16.20 eV/cell


The following is a PBE calculation of a relaxed Rb5ZrSe5 crystal, from Alexandria.

Cell lengths 6.3966, 8.4190, 9.1974 Å; angles 107.94, 90.00, 112.33 degrees
Last column: magnetic moment on the atom in μB.
Atoms (fractional coordinates):
Rb 0.6964 0.3927 0.3057  0.00
Se 0.5000 0.0000 0.0000  0.20
Se 0.8736 0.7471 0.1359  0.10
Zr 0.0000 0.0000 0.0000  -0.04
Rb 0.3036 0.6073 0.6943  0.00
Rb 0.3284 0.6567 0.1551  0.00
Se 0.1332 0.2664 0.2785  0.12
Se 0.1264 0.2529 0.8641  0.10
Rb 0.6716 0.3433 0.8449  0.00
Se 0.8668 0.7336 0.7215  0.12
Rb 0.0000 0.0000 0.5000  0.01

Properties
E ... -42.13 eV/cell


The following is a PBE calculation of a relaxed CaSc2Rh crystal, from Alexandria.

Cell lengths 5.5168, 5.8347, 3.1662 Å; angles 77.51, 83.31, 116.18 degrees
Atoms (fractional coordinates):
Sc 0.5000 0.0000 0.5000
Sc 0.0000 0.0000 0.0000
Rh 0.5000 0.5000 0.0000
Ca 0.0000 0.5000 0.5000

Properties
Calculated formation energy ... 0.007 eV/atom


The following is a PBE calculation of a relaxed In4SnSe7 crystal, from Alexandria.

Cell lengths 6.6906, 7.1908, 16.3363 Å; angles 90.00, 90.00, 90.00 degrees
Atoms (fractional coordinates):
Se 0.4813 0.3407 0.6142
In 0.5808 0.6585 0.8765
Se 0.9452 0.6742 0.3857
In 0.5785 0.1778 0.7544
Se 0.9452 0.6742 0.6143
Se 0.4786 0.8216 0.2642
In 0.0785 0.8222 0.7456
Se 0.9813 0.6593 0.1142
In 0.5785 0.1778 0.2456
In 0.0785 0.8222 0.2544
Se 0.4741 0.8762 0.0000
In 0.0808 0.3415 0.6235
In 0.0808 0.3415 0.3765
Sn 0.0520 0.9384 0.0000
Sn 0.5520 0.0616 0.5000
Se 0.4786 0.8216 0.7358
Se 0.4452 0.3258 0.1143
Se 0.9813 0.6593 0.8858
In 0.5808 0.6585 0.1235
Se 0.4813 0.3407 0.3858
Se 0.9786 0.1784 0.2358
Se 0.4452 0.3258 0.8857
Se 0.9741 0.1238 0.5000
Se 0.9786 0.1784 0.7642

Properties
E ... -90.68 eV/cell


The following is a PBE calculation of a relaxed BeAgPt3 crystal, from Alexandria.

Cell lengths 4.2667, 4.2667, 4.2667 Å; angles 90.00, 90.00, 90.00 degrees
Atoms (fractional coordinates):
Pt 0.0000 0.5000 0.0000
Pt 0.5000 0.0000 0.0000
Ag 0.5000 0.5000 0.5000
Be 0.0000 0.0000 0.0000
Pt 0.0000 0.0000 0.5000

Properties
Calculated formation energy ... 0.026 eV/atom